A plane-wave DFT calculation with PBE was carried out for a relaxed structure of TaTi2Hg.

Values from the calculation:
ΔH_f (0 K) (eV per atom): 0.091
Total magnetic moment (μB/f.u.): 0.000

Geometry as CIF:
```
data_TaTi2Hg
_cell_length_a 3.0309
_cell_length_b 3.0309
_cell_length_c 28.2806
_cell_angle_alpha 90.00
_cell_angle_beta 90.00
_cell_angle_gamma 120.00
_symmetry_space_group_name_H-M 'R 3 m'
_symmetry_Int_Tables_number 160
_symmetry_space_group_name_Hall 'R 3 -2"'
loop_
_atom_site_label
_atom_site_type_symbol
_atom_site_fract_x
_atom_site_fract_y
_atom_site_fract_z
Ta1 Ta 0.0000 0.0000 0.0000
Ti1 Ti 0.0000 0.0000 0.4141
Ti2 Ti 0.0000 0.0000 0.5866
Hg1 Hg 0.0000 0.0000 0.1672
```

***

A plane-wave DFT calculation with PBE was carried out for a relaxed structure of PrSmBi2.

Values from the calculation:
ΔH_f (0 K) (eV per atom): -0.685
Total magnetic moment (μB/f.u.): 0.049
Distance to the lowest polymorph of the same formula (meV per atom): 257

Geometry as CIF:
```
data_PrSmBi2
_cell_length_a 3.875
_cell_length_b 3.875
_cell_length_c 8.357
_cell_angle_alpha 90.00
_cell_angle_beta 90.00
_cell_angle_gamma 90.00
_symmetry_space_group_name_H-M 'P 4/m m m'
_symmetry_Int_Tables_number 123
_symmetry_space_group_name_Hall '-P 4 2'
loop_
_atom_site_label
_atom_site_type_symbol
_atom_site_fract_x
_atom_site_fract_y
_atom_site_fract_z
Pr1 Pr 0.000 0.000 0.000
Sm1 Sm 0.000 0.000 0.500
Bi1 Bi 0.500 0.500 0.256
```

***

A plane-wave DFT calculation with PBE was carried out for a relaxed structure of CeTh2InN5.

Values from the calculation:
Energy (eV/cell): -299.2
Total magnetic moment (μB/f.u.): 0.000

Geometry as CIF:
```
data_CeTh2InN5
_cell_length_a 3.618
_cell_length_b 14.074
_cell_length_c 11.592
_cell_angle_alpha 90.00
_cell_angle_beta 90.00
_cell_angle_gamma 90.00
_symmetry_space_group_name_H-M 'C m c 21'
_symmetry_Int_Tables_number 36
loop_
_symmetry_equiv_pos_as_xyz
'x,y,z'
'-x,-y,z+1/2'
'-x,y,z'
'x,-y,z+1/2'
'x+1/2,y+1/2,z'
'-x+1/2,-y+1/2,z+1/2'
'-x+1/2,y+1/2,z'
'x+1/2,-y+1/2,z+1/2'
loop_
_atom_site_label
_atom_site_type_symbol
_atom_site_fract_x
_atom_site_fract_y
_atom_site_fract_z
Ce1 Ce 0.000 0.226 0.000
Th1 Th 0.000 0.126 0.715
Th2 Th 0.000 0.129 0.258
In1 In 0.000 0.493 0.488
N1 N 0.000 0.065 0.063
N2 N 0.000 0.282 0.360
N3 N 0.000 0.283 0.652
N4 N 0.000 0.370 0.084
N5 N 0.000 0.481 0.802
```

***

A plane-wave DFT calculation with PBE was carried out for a relaxed structure of Ce2Pr2In3.

Values from the calculation:
ΔH_f (0 K) (eV per atom): -0.348
Total magnetic moment (μB/f.u.): 1.583

Geometry as CIF:
```
data_Ce2Pr2In3
_cell_length_a 4.744
_cell_length_b 24.421
_cell_length_c 3.384
_cell_angle_alpha 90.00
_cell_angle_beta 90.00
_cell_angle_gamma 90.00
_symmetry_space_group_name_H-M 'C m m m'
_symmetry_Int_Tables_number 65
_symmetry_space_group_name_Hall '-C 2 2'
loop_
_atom_site_label
_atom_site_type_symbol
_atom_site_fract_x
_atom_site_fract_y
_atom_site_fract_z
Ce1 Ce 0.000 0.218 0.000
Pr1 Pr 0.000 0.075 0.000
In1 In 0.000 0.349 0.500
In2 In 0.000 0.500 0.500
```

***

A plane-wave DFT calculation with PBE was carried out for a relaxed structure of Ta2GeSbS.

Values from the calculation:
Energy (eV/cell): -32.7
Total magnetic moment (μB/f.u.): 0.000

Geometry as CIF:
```
data_Ta2GeSbS
_cell_length_a 4.576
_cell_length_b 4.576
_cell_length_c 5.344
_cell_angle_alpha 90.00
_cell_angle_beta 90.00
_cell_angle_gamma 90.00
_symmetry_space_group_name_H-M 'P 4/m m m'
_symmetry_Int_Tables_number 123
_symmetry_space_group_name_Hall '-P 4 2'
loop_
_atom_site_label
_atom_site_type_symbol
_atom_site_fract_x
_atom_site_fract_y
_atom_site_fract_z
Ta1 Ta 0.000 0.500 0.000
Ge1 Ge 0.000 0.000 0.500
Sb1 Sb 0.500 0.500 0.500
S1 S 0.500 0.500 0.000
```

***

A plane-wave DFT calculation with PBE was carried out for a relaxed structure of InCoSb2H.

Values from the calculation:
Energy (eV/cell): -18.7
Total magnetic moment (μB/f.u.): 0.000

Geometry as CIF:
```
data_InCoSb2H
_cell_length_a 4.841
_cell_length_b 4.841
_cell_length_c 4.959
_cell_angle_alpha 90.00
_cell_angle_beta 90.00
_cell_angle_gamma 90.00
_symmetry_space_group_name_H-M 'P 4/m m m'
_symmetry_Int_Tables_number 123
_symmetry_space_group_name_Hall '-P 4 2'
loop_
_atom_site_label
_atom_site_type_symbol
_atom_site_fract_x
_atom_site_fract_y
_atom_site_fract_z
In1 In 0.000 0.000 0.000
Co1 Co 0.000 0.000 0.500
Sb1 Sb 0.000 0.500 0.500
H1 H 0.500 0.500 0.000
```